Material: Nd2ThSc
Method: DFT, PBE-GGA
State: relaxed

Summary:
As for the total energy: -5.74 eV per atom. As for the formation energy: 82 meV per atom. The polymorph energy (0 for the lowest one) comes out at 13 meV/atom. As for the density of states at the Fermi level: 6.823 states/eV/cell.

a = 3.5689 Å, b = 3.5689 Å, c = 11.6620 Å
α = 81.20°, β = 81.20°, γ = 60.00°
Fractional coordinates of all 4 atoms:
Sc 0.0000 0.0000 0.0000
Nd 0.7480 0.7480 0.7560
Nd 0.2520 0.2520 0.2440
Th 0.5000 0.5000 0.5000



Material: AcAsPb
Method: DFT, PBE-GGA
State: relaxed

Summary:
As for the total energy: -4.70 eV per atom. As for the formation energy: -542 meV per atom. The polymorph energy (0 for the lowest one) comes out at 30 meV/atom. As for the density of states at the Fermi level: 8.198 states/eV/cell.

a = 7.3882 Å, b = 7.3882 Å, c = 7.3882 Å
α = 90.00°, β = 90.00°, γ = 90.00°
Fractional coordinates of all 12 atoms:
As 0.7400 0.7400 0.7400
As 0.7600 0.2600 0.2400
As 0.2400 0.7600 0.2600
As 0.2600 0.2400 0.7600
Pb 0.5087 0.5087 0.5087
Pb 0.9913 0.4913 0.0087
Pb 0.0087 0.9913 0.4913
Pb 0.4913 0.0087 0.9913
Ac 0.9917 0.9917 0.9917
Ac 0.5083 0.0083 0.4917
Ac 0.4917 0.5083 0.0083
Ac 0.0083 0.4917 0.5083



Material: CePuAu3
Method: DFT, PBE-GGA
State: relaxed

Summary:
As for the total energy: -6.57 eV per atom. As for the formation energy: -550 meV per atom. The polymorph energy (0 for the lowest one) comes out at 0 meV/atom. As for the density of states at the Fermi level: 34.010 states/eV/cell.

a = 3.4503 Å, b = 4.7666 Å, c = 14.3952 Å
α = 90.00°, β = 96.88°, γ = 90.00°
Site moments in Bohr magnetons follow the coordinates.
Fractional coordinates of all 10 atoms:
Ce 0.9268 0.7500 0.8536  -0.81
Ce 0.0732 0.2500 0.1464  -0.81
Pu 0.2120 0.7500 0.4240  5.41
Pu 0.7880 0.2500 0.5760  5.41
Au 0.6214 0.7500 0.2428  0.01
Au 0.3786 0.2500 0.7572  0.01
Au 0.5243 0.7500 0.0487  0.00
Au 0.4757 0.2500 0.9513  0.00
Au 0.6773 0.2500 0.3547  0.02
Au 0.3227 0.7500 0.6453  0.02



Material: YMgIr2Pt
Method: DFT, PBE-GGA
State: relaxed

Summary:
As for the total energy: -5.39 eV per atom. As for the formation energy: 970 meV per atom. As for the density of states at the Fermi level: 2.892 states/eV/cell.

a = 4.4960 Å, b = 4.9841 Å, c = 4.4960 Å
α = 90.00°, β = 90.00°, γ = 90.00°
Site moments in Bohr magnetons follow the coordinates.
Fractional coordinates of all 5 atoms:
Y 0.0000 0.5000 0.0000  -0.03
Mg 0.0000 0.0000 0.0000  -0.01
Ir 0.0000 0.0000 0.5000  0.25
Ir 0.5000 0.0000 0.0000  0.33
Pt 0.5000 0.5000 0.5000  0.14



Material: Y3Si2Pd3
Method: DFT, PBE-GGA
State: relaxed

Summary:
The value obtained for the formation energy (no corrections) is -0.95 eV/atom. As for the total energy: -6.68 eV per atom. As for the density of states at the Fermi level: 20.194 states/eV/cell.

a = 5.6073 Å, b = 7.5717 Å, c = 15.1555 Å
α = 90.00°, β = 90.00°, γ = 90.00°
Fractional coordinates of all 32 atoms:
Y 0.1351 0.4708 0.3914
Y 0.6351 0.0292 0.6086
Y 0.8649 0.5292 0.8914
Y 0.3649 0.9708 0.1086
Y 0.8649 0.5292 0.6086
Y 0.3649 0.9708 0.3914
Y 0.1351 0.4708 0.1086
Y 0.6351 0.0292 0.8914
Y 0.6265 0.3321 0.2500
Y 0.1265 0.1679 0.7500
Y 0.3735 0.6679 0.7500
Y 0.8735 0.8321 0.2500
Si 0.8614 0.1207 0.3938
Si 0.3614 0.3793 0.6062
Si 0.1386 0.8793 0.8938
Si 0.6386 0.6207 0.1062
Si 0.1386 0.8793 0.6062
Si 0.6386 0.6207 0.3938
Si 0.8614 0.1207 0.1062
Si 0.3614 0.3793 0.8938
Pd 0.1115 0.1847 0.2500
Pd 0.6115 0.3153 0.7500
Pd 0.8885 0.8153 0.7500
Pd 0.3885 0.6847 0.2500
Pd 0.5972 0.3270 0.4659
Pd 0.0972 0.1730 0.5341
Pd 0.4028 0.6730 0.9659
Pd 0.9028 0.8270 0.0341
Pd 0.4028 0.6730 0.5341
Pd 0.9028 0.8270 0.4659
Pd 0.5972 0.3270 0.0341
Pd 0.0972 0.1730 0.9659